A plane-wave DFT calculation with PBE with a Hubbard U was carried out for an optimized crystal structure of Sr4MgV3O12.

Cell lengths 6.778, 6.778, 6.778 Å; angles 109.47, 109.47, 109.47 degrees
Each line ends with the local moment (μB).
Atoms (fractional coordinates):
Sr  0.500  0.500  0.500  0.00
Sr  0.000  0.000  0.500  0.00
Sr  0.500  0.000  0.000  0.00
Sr  0.000  0.500  0.000  0.00
Mg  0.000  0.000  0.000  0.00
V  0.500  0.000  0.500  0.43
V  0.500  0.500  0.000  0.43
V  0.000  0.500  0.500  0.43
O  0.250  0.500  0.750  -0.03
O  0.736  0.000  0.736  -0.02
O  0.264  0.000  0.264  -0.02
O  0.750  0.500  0.250  -0.03
O  0.736  0.736  0.000  -0.02
O  0.264  0.264  0.000  -0.02
O  0.750  0.250  0.500  -0.03
O  0.250  0.750  0.500  -0.03
O  0.500  0.250  0.750  -0.03
O  0.000  0.736  0.736  -0.02
O  0.500  0.750  0.250  -0.03
O  0.000  0.264  0.264  -0.02

Summary:
* calculated total energy: -140.0 eV per cell
* spin magnetization: 1.0 μB per cell
* calculated density: 5.0 g cm⁻³